Record 1
CsSrNb2: relaxed, PBE.

Properties
SG   No. 225
Energy of formation from the pure elements   754 kJ/mol of formula units
Size of the total moment   6.05 μB/cell
E above lowest polymorph   218.4 meV/atom

Cell: 5.658 5.658 5.658 Å, 60.00 60.00 60.00°
Fractional coordinates of all 4 atoms:
Cs 0.500 0.500 0.500
Nb 0.250 0.250 0.250
Nb 0.750 0.750 0.750
Sr 0.000 0.000 0.000



Record 2
KCu3Se3: relaxed, PBE.

Properties
SG   No. 223
Size of the total moment   0.00 μB/cell
ΔE_f (raw)   -421 meV per atom
E above lowest polymorph   0.0 meV/atom

Cell: 6.839 6.839 6.839 Å, 90.00 90.00 90.00°
Fractional coordinates of all 14 atoms:
Cu 0.500 0.750 0.000
Cu 0.250 0.000 0.500
Cu 0.000 0.500 0.250
Cu 0.000 0.500 0.750
Cu 0.500 0.250 0.000
Cu 0.750 0.000 0.500
Se 0.000 0.750 0.500
Se 0.250 0.500 0.000
Se 0.500 0.000 0.750
Se 0.500 0.000 0.250
Se 0.750 0.500 0.000
Se 0.000 0.250 0.500
K 0.500 0.500 0.500
K 0.000 0.000 0.000



Record 3
Nd8Ni3OsBr4: relaxed, PBE.

Properties
SG   No. 166
Size of the total moment   0.00 μB/cell
ΔE_f (raw)   -798 meV per atom

Cell: 8.169 9.111 8.166 Å, 116.61 120.01 90.00°
Fractional coordinates of all 16 atoms:
Os 0.000 0.500 0.000
Nd 0.232 0.696 0.463
Nd 0.267 0.304 0.036
Nd 0.270 0.309 0.540
Nd 0.232 0.696 0.964
Nd 0.730 0.691 0.460
Nd 0.768 0.304 0.036
Nd 0.733 0.696 0.964
Nd 0.768 0.304 0.537
Br 0.000 0.000 0.000
Br 0.500 0.000 0.500
Br 0.000 0.000 0.500
Br 0.500 0.000 0.000
Ni 0.500 0.500 0.500
Ni 0.500 0.500 0.000
Ni 0.000 0.500 0.500



Record 4
AlZn3Au: relaxed, PBE.

Properties
SG   No. 221
Energy of formation from the pure elements   158 kJ/mol of formula units
Size of the total moment   0.00 μB/cell
E above lowest polymorph   0.0 meV/atom

Cell: 4.909 4.909 4.909 Å, 90.00 90.00 90.00°
Fractional coordinates of all 5 atoms:
Al 0.500 0.500 0.500
Zn 0.000 0.500 0.000
Zn 0.000 0.000 0.500
Zn 0.500 0.000 0.000
Au 0.000 0.000 0.000



Record 5
PRuNF2: relaxed, PBE.

Properties
SG   No. 123
Size of the total moment   2.91 μB/cell
ΔE_f (raw)   256 meV per atom
E above lowest polymorph   56.6 meV/atom

Cell: 4.486 4.486 3.255 Å, 90.00 90.00 90.00°
Fractional coordinates of all 5 atoms:
F 0.000 0.500 0.000
F 0.500 0.000 0.000
N 0.000 0.000 0.500
Ru 0.500 0.500 0.500
P 0.000 0.000 0.000



Record 6
Cr2InAg: relaxed, PBE.

Properties
SG   No. 123
Energy of formation from the pure elements   179 kJ/mol of formula units
Size of the total moment   7.76 μB/cell

Cell: 4.478 4.478 3.584 Å, 90.00 90.00 90.00°
Fractional coordinates of all 4 atoms:
Cr 0.000 0.000 0.000
Cr 0.500 0.500 0.000
Ag 0.000 0.500 0.500
In 0.500 0.000 0.500



Number 1: energy -3.72 eV per atom. Number 2: energy -3.83 eV per atom. Number 3: energy -5.39 eV per atom. Number 4: energy -1.84 eV per atom. Number 5: energy -5.10 eV per atom. Number 6: energy -5.74 eV per atom.